Entry 1:
Density functional theory data (PBE) for a relaxed structure of Cs2Zn2HgSe4.

The structure in CIF format:
```
data_Cs2Zn2HgSe4
_chemical_formula_sum 'Cs4 Zn4 Hg2 Se8'
_cell_length_a 17.593
_cell_length_b 4.142
_cell_length_c 8.100
_cell_angle_alpha 90.00
_cell_angle_beta 108.70
_cell_angle_gamma 90.00
_symmetry_space_group_name_H-M 'C 1 2/m 1'
_symmetry_Int_Tables_number 12
loop_
_symmetry_equiv_pos_as_xyz
'x,y,z'
'-x,-y,-z'
'-x,y,-z'
'x,-y,z'
'x+1/2,y+1/2,z'
'-x+1/2,-y+1/2,-z'
'-x+1/2,y+1/2,-z'
'x+1/2,-y+1/2,z'
loop_
_atom_site_label
_atom_site_type_symbol
_atom_site_fract_x
_atom_site_fract_y
_atom_site_fract_z
Cs1 Cs 0.125 0.000 0.026
Zn1 Zn 0.177 0.500 0.488
Hg1 Hg 0.000 0.000 0.500
Se1 Se 0.035 0.500 0.299
Se2 Se 0.218 0.000 0.674
```

Results
Formation energy from raw total energies = -0.777 eV per atom
Calculated density = 5.42 g cm⁻³
DFT total energy = -2.8323 eV/atom



Entry 2:
Density functional theory data (PBE) for a relaxed structure of PmNdNi2As2.

The structure in CIF format:
```
data_PmNdNi2As2
_chemical_formula_sum 'Pm1 Nd1 Ni2 As2'
_cell_length_a 4.1101
_cell_length_b 4.1101
_cell_length_c 8.0847
_cell_angle_alpha 90.00
_cell_angle_beta 90.00
_cell_angle_gamma 120.00
_symmetry_space_group_name_H-M 'P -3 m 1'
_symmetry_Int_Tables_number 164
_symmetry_space_group_name_Hall '-P 3 2"'
loop_
_atom_site_label
_atom_site_type_symbol
_atom_site_fract_x
_atom_site_fract_y
_atom_site_fract_z
Pm1 Pm 0.0000 0.0000 0.0000
Nd1 Nd 0.0000 0.0000 0.5000
Ni1 Ni 0.3333 0.6667 0.2488
As1 As 0.3333 0.6667 0.7524
```

Results
Formation energy = -6.26 eV/f.u.
Calculated density = 7.81 g cm⁻³
DFT total energy = -6.1061 eV/atom



Entry 3:
Density functional theory data (PBE) for a relaxed structure of LiSmSc2Cd4.

The structure in CIF format:
```
data_LiSmSc2Cd4
_chemical_formula_sum 'Li3 Sm3 Sc6 Cd12'
_cell_length_a 5.0070
_cell_length_b 5.0070
_cell_length_c 25.4930
_cell_angle_alpha 90.00
_cell_angle_beta 90.00
_cell_angle_gamma 120.00
_symmetry_space_group_name_H-M 'R -3 m'
_symmetry_Int_Tables_number 166
_symmetry_space_group_name_Hall '-R 3 2"'
loop_
_atom_site_label
_atom_site_type_symbol
_atom_site_fract_x
_atom_site_fract_y
_atom_site_fract_z
Li1 Li 0.0000 0.0000 0.0000
Sm1 Sm 0.0000 0.0000 0.5000
Sc1 Sc 0.0000 0.0000 0.2533
Cd1 Cd 0.0000 0.0000 0.1128
Cd2 Cd 0.0000 0.0000 0.3718
```

Results
Formation energy = -1.93 eV/f.u.
Calculated density = 6.27 g cm⁻³
DFT total energy = -3.1113 eV/atom